# 1
The following is a DFT calculation (PBE-GGA) of ZnIn2NiHg after structural relaxation.

Properties
DFT formation energy: 0.0 eV/f.u.
DOS(E_F): 0.36 states/eV per atom
SG: P4/mmm

a b c (Å): 4.9849 4.9849 4.7398
angles (deg): 90.00 90.00 90.00
Element x y z (fractional)
1 Zn 0.0000 0.0000 0.0000
2 In 0.0000 0.5000 0.5000
3 In 0.5000 0.0000 0.5000
4 Ni 0.0000 0.0000 0.5000
5 Hg 0.5000 0.5000 0.0000

# 2
The following is a DFT calculation (PBE-GGA) of ZnInNiHg2 after structural relaxation.

Properties
DFT formation energy: 0.8 eV/f.u.
DOS(E_F): 0.47 states/eV per atom
SG: P4/mmm

a b c (Å): 5.0442 5.0442 4.6510
angles (deg): 90.00 90.00 90.00
Element x y z (fractional)
1 Zn 0.0000 0.0000 0.0000
2 In 0.5000 0.5000 0.0000
3 Ni 0.0000 0.0000 0.5000
4 Hg 0.0000 0.5000 0.5000
5 Hg 0.5000 0.0000 0.5000

# 3
The following is a DFT calculation (PBE-GGA) of ZrInNi2Hg after structural relaxation.

Properties
DFT formation energy: 5.0 eV/f.u.
DOS(E_F): 1.85 states/eV per atom
SG: P4/mmm

a b c (Å): 4.6832 4.6832 5.3932
angles (deg): 90.00 90.00 90.00
Element x y z (fractional)
1 Zr 0.0000 0.0000 0.0000
2 In 0.0000 0.0000 0.5000
3 Ni 0.0000 0.5000 0.5000
4 Ni 0.5000 0.0000 0.5000
5 Hg 0.5000 0.5000 0.0000

# 4
The following is a DFT calculation (PBE-GGA) of NpInHg after structural relaxation.

Properties
DFT formation energy: 0.4 eV/f.u.
DOS(E_F): 2.00 states/eV per atom
SG: I4mm
Energy above the most stable polymorph in this dataset: 71 meV per atom

a b c (Å): 7.3732 7.3732 7.3732
angles (deg): 154.67 154.67 36.12
Element x y z (fractional)
1 Np 0.0000 0.0000 0.0000
2 In 0.3281 0.3281 0.0000
3 Hg 0.6664 0.6664 0.0000

# 5
The following is a DFT calculation (PBE-GGA) of NpIn2Hg4 after structural relaxation.

Properties
DFT formation energy: 0.3 eV/f.u.
DOS(E_F): 1.88 states/eV per atom
SG: P4/mmm

a b c (Å): 5.0162 5.0162 7.2968
angles (deg): 90.00 90.00 90.00
Element x y z (fractional)
1 Np 0.0000 0.0000 0.0000
2 In 0.0000 0.0000 0.5000
3 In 0.5000 0.5000 0.0000
4 Hg 0.0000 0.5000 0.2712
5 Hg 0.0000 0.5000 0.7288
6 Hg 0.5000 0.0000 0.2712
7 Hg 0.5000 0.0000 0.7288

# 6
The following is a DFT calculation (PBE-GGA) of NpIn2Hg after structural relaxation.

Properties
DFT formation energy: 0.3 eV/f.u.
DOS(E_F): 2.73 states/eV per atom
SG: P4/mmm
Energy above the most stable polymorph in this dataset: 0 meV per atom

a b c (Å): 4.6913 4.6913 4.5522
angles (deg): 90.00 90.00 90.00
Element x y z (fractional)
1 Np 0.0000 0.0000 0.0000
2 In 0.0000 0.5000 0.5000
3 In 0.5000 0.0000 0.5000
4 Hg 0.5000 0.5000 0.0000